Compound: Sr2TbAg
Source: Alexandria
Functional: PBE
Structure: relaxed

Cell and atoms, written as extended XYZ:
```
4
Lattice="1.925 1.112 11.950 -1.925 1.112 11.950 0.000 -2.223 11.950" Properties=species:S:1:pos:R:3 pbc="T T T"
Sr 0.000 0.000 3.619
Sr 0.000 0.000 32.231
Tb 0.000 0.000 0.000
Ag 0.000 0.000 17.925
```

Formation enthalpy at 0 K (eV/atom): 0.26
VASP energy (eV per formula unit): -9.801